1.
Density functional theory data (PBE) for a relaxed structure of KCaIn2.

* magnetic moment: 0.000 μB/cell
* energy relative to the elements: -17.7 kJ/mol of atoms
* E: -2.327 eV per atom
* space group: Pm
* energy above the lowest structure with this stoichiometry: 0.031 eV per atom

a = 5.5065 Å, b = 3.6943 Å, c = 6.1640 Å
α = 89.95°, β = 90.00°, γ = 90.00°
Element x y z (fractional)
Ca1 0.5000 0.6260 0.8264
In1 0.0000 0.1254 0.9548
In2 0.5000 0.1246 0.2760
K1 0.0000 0.6240 0.4428



2.
Density functional theory data (PBE) for a relaxed structure of CaTcPt2.

* magnetic moment: 0.000 μB/cell
* energy relative to the elements: -21.2 kJ/mol of atoms
* E: -6.332 eV per atom
* space group: Cm
* energy above the lowest structure with this stoichiometry: 0.072 eV per atom

a = 5.3040 Å, b = 5.3040 Å, c = 4.9584 Å
α = 76.30°, β = 76.30°, γ = 30.67°
Element x y z (fractional)
Ca1 0.7348 0.7348 0.8110
Tc1 0.5241 0.5241 0.4286
Pt1 0.9811 0.9811 0.9492
Pt2 0.2600 0.2600 0.3112



3.
Density functional theory data (PBE) for a relaxed structure of In3IrO.

* magnetic moment: 0.000 μB/cell
* E: -4.359 eV per atom
* space group: Pm-3m
* energy above the lowest structure with this stoichiometry: 0.000 eV per atom

a = 4.5263 Å, b = 4.5263 Å, c = 4.5263 Å
α = 90.00°, β = 90.00°, γ = 90.00°
Element x y z (fractional)
Ir1 0.5000 0.5000 0.5000
O1 0.0000 0.0000 0.0000
In1 0.0000 0.5000 0.0000
In2 0.0000 0.0000 0.5000
In3 0.5000 0.0000 0.0000



4.
Density functional theory data (PBE) for a relaxed structure of VInIr2.

* magnetic moment: 0.000 μB/cell
* energy relative to the elements: 17.4 kJ/mol of atoms
* E: -7.214 eV per atom
* space group: I-42d

a = 7.1272 Å, b = 7.1272 Å, c = 5.7445 Å
α = 51.66°, β = 51.66°, γ = 90.00°
Element x y z (fractional)
Ir1 0.5735 0.1250 0.2500
Ir2 0.1765 0.6250 0.2500
Ir3 0.3750 0.4265 0.7500
Ir4 0.8750 0.8235 0.7500
In1 0.0000 0.0000 0.0000
In2 0.7500 0.2500 0.5000
V1 0.5000 0.5000 0.0000
V2 0.2500 0.7500 0.5000



- magnetic moment of number 3 (In3IrO)?
  0.000 μB/cell



- Which of these has the lowest E?
  VInIr2